Entry from the Alexandria database: a relaxed structure of La9Dy4Hg11 (PBE-GGA).

Values from the calculation:
Its space group is Cmmm (65). Its total energy is -3.165 eV per atom. The density of states at the Fermi level comes out at 0.96 states/eV per atom.

Geometry as POSCAR:
```
La9Dy4Hg11
1.0
8.008 -11.898 0.000
8.008 11.898 0.000
0.000 0.000 3.620
La Dy Hg
9 4 11
Direct
0.000 0.000 0.000
0.135 0.645 0.000
0.290 0.450 0.000
0.355 0.865 0.000
0.450 0.290 0.000
0.550 0.710 0.000
0.645 0.135 0.000
0.710 0.550 0.000
0.865 0.355 0.000
0.052 0.247 0.000
0.247 0.052 0.000
0.753 0.948 0.000
0.948 0.753 0.000
0.082 0.438 0.500
0.137 0.863 0.500
0.215 0.215 0.500
0.339 0.661 0.500
0.438 0.082 0.500
0.500 0.500 0.500
0.562 0.918 0.500
0.661 0.339 0.500
0.785 0.785 0.500
0.863 0.137 0.500
0.918 0.562 0.500
```